Below is a relaxed Li2HfPd2 crystal, with properties calculated at the PBE level.

Summary:
Calculated formation energy (eV per formula unit): -2.5
Crystal system: orthorhombic
Symmetry: No. 65
E above lowest polymorph (eV per formula unit): 0.00

Cell: 8.6575 8.6575 3.2118 Å, 90.00 90.00 158.11°
With the nearest neighbours (Å) after each atom.
Atoms (fractional coordinates):
Li  0.1824  0.8176  0.0000  4 Pd 2.76, 2 Li 2.83
Li  0.8176  0.1824  0.0000  4 Pd 2.76, 2 Li 2.83
Hf  0.0000  0.0000  0.0000  8 Pd 2.78, 2 Li 3.10
Pd  0.4079  0.5921  0.5000  4 Li 2.76, 4 Hf 2.78
Pd  0.5921  0.4079  0.5000  4 Li 2.76, 4 Hf 2.78